! LaTaCd2 (PBE, relaxed); values from VASP
&SYSTEM
  ibrav = 0, nat = 4, ntyp = 3
/
ATOMIC_SPECIES
La 138.91 La.upf
Ta 180.95 Ta.upf
Cd 112.41 Cd.upf
CELL_PARAMETERS angstrom
3.067 0.000 0.000
0.000 4.862 0.000
-1.501 0.000 6.342
ATOMIC_POSITIONS crystal
La 0.000 0.000 0.000
Ta 0.657 0.500 0.310
Cd 0.251 0.000 0.491
Cd 0.373 0.500 0.744
! - M_tot: 0.87 μB per formula unit
! - ΔH_f (0 K): 27.9 kJ per mole of atoms
! - Energy: -4.3634 eV/atom
! - E above lowest polymorph: 149 meV per atom
! - Crystal system: monoclinic
! - Mass density: 9.6 g/cm³